Record 1
# PrDy2YSe6 PBE optimized geometry
data_PrDy2YSe6
_chemical_formula_sum 'Pr1 Dy2 Y1 Se6'
_symmetry_space_group_name_H-M 'P 1'
_symmetry_Int_Tables_number 1
_symmetry_space_group_name_Hall 'P 1'
_cell_length_a 7.758
_cell_length_b 7.758
_cell_length_c 7.758
_cell_angle_alpha 56.11
_cell_angle_beta 56.11
_cell_angle_gamma 56.11
loop_
_atom_site_label
_atom_site_type_symbol
_atom_site_fract_x
_atom_site_fract_y
_atom_site_fract_z
Pr1 Pr 0.000 0.000 0.000
Dy1 Dy 0.296 0.296 0.296
Dy2 Dy 0.800 0.800 0.800
Y1 Y 0.494 0.494 0.494
Se1 Se 0.087 0.681 0.416
Se2 Se 0.200 0.585 0.898
Se3 Se 0.416 0.087 0.681
Se4 Se 0.585 0.898 0.200
Se5 Se 0.681 0.416 0.087
Se6 Se 0.898 0.200 0.585
# Raw formation energy: -1.849 eV/atom
# Space group: R3

Record 2
# Na2CeAg PBE optimized geometry
data_Na2CeAg
_chemical_formula_sum 'Na2 Ce1 Ag1'
_symmetry_space_group_name_H-M 'P 1'
_symmetry_Int_Tables_number 1
_symmetry_space_group_name_Hall 'P 1'
_cell_length_a 11.995
_cell_length_b 11.995
_cell_length_c 11.995
_cell_angle_alpha 14.92
_cell_angle_beta 14.92
_cell_angle_gamma 14.92
loop_
_atom_site_label
_atom_site_type_symbol
_atom_site_fract_x
_atom_site_fract_y
_atom_site_fract_z
Na1 Na 0.095 0.095 0.095
Na2 Na 0.905 0.905 0.905
Ce1 Ce 0.000 0.000 0.000
Ag1 Ag 0.500 0.500 0.500
# Space group: R-3m
# Energy of formation from the pure elements: 194.6 meV per atom

Record 3
# Hf2Nb2Au PBE optimized geometry
data_Hf2Nb2Au
_chemical_formula_sum 'Hf4 Nb4 Au2'
_symmetry_space_group_name_H-M 'P 1'
_symmetry_Int_Tables_number 1
_symmetry_space_group_name_Hall 'P 1'
_cell_length_a 7.239
_cell_length_b 7.239
_cell_length_c 3.893
_cell_angle_alpha 90.00
_cell_angle_beta 90.00
_cell_angle_gamma 90.00
loop_
_atom_site_label
_atom_site_type_symbol
_atom_site_fract_x
_atom_site_fract_y
_atom_site_fract_z
Hf1 Hf 0.171 0.329 0.000
Hf2 Hf 0.329 0.829 0.000
Hf3 Hf 0.671 0.171 0.000
Hf4 Hf 0.829 0.671 0.000
Nb1 Nb 0.129 0.629 0.500
Nb2 Nb 0.371 0.129 0.500
Nb3 Nb 0.629 0.871 0.500
Nb4 Nb 0.871 0.371 0.500
Au1 Au 0.000 0.000 0.500
Au2 Au 0.500 0.500 0.500
# Space group: P4/mbm
# Distance to the lowest polymorph of the same formula: 0.212 eV per atom
# Energy of formation from the pure elements: 105.2 meV per atom

Record 4
# MgCN2F PBE optimized geometry
data_MgCN2F
_chemical_formula_sum 'Mg1 C1 N2 F1'
_symmetry_space_group_name_H-M 'P 1'
_symmetry_Int_Tables_number 1
_symmetry_space_group_name_Hall 'P 1'
_cell_length_a 3.082
_cell_length_b 3.082
_cell_length_c 4.760
_cell_angle_alpha 90.00
_cell_angle_beta 90.00
_cell_angle_gamma 90.00
loop_
_atom_site_label
_atom_site_type_symbol
_atom_site_fract_x
_atom_site_fract_y
_atom_site_fract_z
Mg1 Mg 0.000 0.000 0.000
C1 C 0.500 0.500 0.500
N1 N 0.000 0.500 0.500
N2 N 0.500 0.000 0.500
F1 F 0.500 0.500 0.000
# Raw formation energy: 0.649 eV/atom
# Space group: P4/mmm

Record 5
# SrCeGe2 PBE optimized geometry
data_SrCeGe2
_chemical_formula_sum 'Sr1 Ce1 Ge2'
_symmetry_space_group_name_H-M 'P 1'
_symmetry_Int_Tables_number 1
_symmetry_space_group_name_Hall 'P 1'
_cell_length_a 3.454
_cell_length_b 3.454
_cell_length_c 8.484
_cell_angle_alpha 90.00
_cell_angle_beta 90.00
_cell_angle_gamma 90.00
loop_
_atom_site_label
_atom_site_type_symbol
_atom_site_fract_x
_atom_site_fract_y
_atom_site_fract_z
Sr1 Sr 0.000 0.000 0.000
Ce1 Ce 0.000 0.000 0.500
Ge1 Ge 0.500 0.500 0.263
Ge2 Ge 0.500 0.500 0.737
# Space group: P4/mmm
# Energy of formation from the pure elements: -517.6 meV per atom

Record 6
# MnNi3Rh3 PBE optimized geometry
data_MnNi3Rh3
_chemical_formula_sum 'Mn2 Ni6 Rh6'
_symmetry_space_group_name_H-M 'P 1'
_symmetry_Int_Tables_number 1
_symmetry_space_group_name_Hall 'P 1'
_cell_length_a 6.577
_cell_length_b 6.577
_cell_length_c 6.577
_cell_angle_alpha 56.66
_cell_angle_beta 56.66
_cell_angle_gamma 56.66
loop_
_atom_site_label
_atom_site_type_symbol
_atom_site_fract_x
_atom_site_fract_y
_atom_site_fract_z
Mn1 Mn 0.083 0.083 0.083
Mn2 Mn 0.917 0.917 0.917
Ni1 Ni 0.163 0.609 0.300
Ni2 Ni 0.300 0.163 0.609
Ni3 Ni 0.391 0.700 0.837
Ni4 Ni 0.609 0.300 0.163
Ni5 Ni 0.700 0.837 0.391
Ni6 Ni 0.837 0.391 0.700
Rh1 Rh 0.060 0.566 0.744
Rh2 Rh 0.256 0.940 0.434
Rh3 Rh 0.434 0.256 0.940
Rh4 Rh 0.566 0.744 0.060
Rh5 Rh 0.744 0.060 0.566
Rh6 Rh 0.940 0.434 0.256
# Space group: R-3
# Energy of formation from the pure elements: 155.6 meV per atom